[1]
# PBE Dy2ErZn2Ga2, optimized geometry
# Total magnetization: 0.000 μB per cell
# Calculated formation energy: -38 kJ/mol of atoms
data_Dy2ErZn2Ga2
_space_group_name_H-M_alt 'R -3 m'
_space_group_IT_number 166
_space_group_name_Hall '-R 3 2"'
_cell_length_a 4.4254
_cell_length_b 4.4254
_cell_length_c 27.3386
_cell_angle_alpha 90.00
_cell_angle_beta 90.00
_cell_angle_gamma 120.00
loop_
_atom_site_label
_atom_site_fract_x
_atom_site_fract_y
_atom_site_fract_z
Dy1 0.0000 0.0000 0.1260
Er1 0.0000 0.0000 0.0000
Zn1 0.0000 0.0000 0.3957
Ga1 0.0000 0.0000 0.2646

[2]
# PBE Dy2Er2ZnGa4, optimized geometry
# Total magnetization: 0.010 μB per cell
# Calculated formation energy: -26 kJ/mol of atoms
data_Dy2Er2ZnGa4
_space_group_name_H-M_alt 'I 4/m m m'
_space_group_IT_number 139
_space_group_name_Hall '-I 4 2'
_cell_length_a 6.930
_cell_length_b 6.930
_cell_length_c 8.684
_cell_angle_alpha 90.00
_cell_angle_beta 90.00
_cell_angle_gamma 90.00
loop_
_atom_site_label
_atom_site_fract_x
_atom_site_fract_y
_atom_site_fract_z
Dy1 0.000 0.000 0.188
Er1 0.000 0.500 0.250
Zn1 0.000 0.000 0.500
Ga1 0.246 0.246 0.500

[3]
# PBE GdDyEr2, optimized geometry
# Total magnetization: 7.248 μB per cell
# Calculated formation energy: 2 kJ/mol of atoms
data_GdDyEr2
_space_group_name_H-M_alt 'P 4/m m m'
_space_group_IT_number 123
_space_group_name_Hall '-P 4 2'
_cell_length_a 3.533
_cell_length_b 3.533
_cell_length_c 9.982
_cell_angle_alpha 90.00
_cell_angle_beta 90.00
_cell_angle_gamma 90.00
loop_
_atom_site_label
_atom_site_fract_x
_atom_site_fract_y
_atom_site_fract_z
Gd1 0.000 0.000 0.000
Dy1 0.000 0.000 0.500
Er1 0.500 0.500 0.252

[4]
# PBE Gd2DyEr, optimized geometry
# Total magnetization: 14.400 μB per cell
# Calculated formation energy: 3 kJ/mol of atoms
data_Gd2DyEr
_space_group_name_H-M_alt 'P 4/m m m'
_space_group_IT_number 123
_space_group_name_Hall '-P 4 2'
_cell_length_a 3.550
_cell_length_b 3.550
_cell_length_c 10.036
_cell_angle_alpha 90.00
_cell_angle_beta 90.00
_cell_angle_gamma 90.00
loop_
_atom_site_label
_atom_site_fract_x
_atom_site_fract_y
_atom_site_fract_z
Gd1 0.000 0.000 0.249
Dy1 0.500 0.500 0.500
Er1 0.500 0.500 0.000

[5]
# PBE Gd2DyEr, optimized geometry
# Total magnetization: 14.503 μB per cell
# Calculated formation energy: 3 kJ/mol of atoms
data_Gd2DyEr
_space_group_name_H-M_alt 'P 4/m m m'
_space_group_IT_number 123
_space_group_name_Hall '-P 4 2'
_cell_length_a 5.023
_cell_length_b 5.023
_cell_length_c 5.012
_cell_angle_alpha 90.00
_cell_angle_beta 90.00
_cell_angle_gamma 90.00
loop_
_atom_site_label
_atom_site_fract_x
_atom_site_fract_y
_atom_site_fract_z
Gd1 0.000 0.500 0.000
Dy1 0.000 0.000 0.500
Er1 0.500 0.500 0.500

[6]
# PBE Gd2DyEr, optimized geometry
# Total magnetization: 63.598 μB per cell
# Calculated formation energy: 10 kJ/mol of atoms
data_Gd2DyEr
_space_group_name_H-M_alt 'F m -3 m'
_space_group_IT_number 225
_space_group_name_Hall '-F 4 2 3'
_cell_length_a 8.000
_cell_length_b 8.000
_cell_length_c 8.000
_cell_angle_alpha 90.00
_cell_angle_beta 90.00
_cell_angle_gamma 90.00
loop_
_atom_site_label
_atom_site_fract_x
_atom_site_fract_y
_atom_site_fract_z
Gd1 0.250 0.250 0.250
Dy1 0.000 0.000 0.000
Er1 0.000 0.000 0.500

[7]
# PBE GdDyEr2, optimized geometry
# Total magnetization: 7.081 μB per cell
# Calculated formation energy: 2 kJ/mol of atoms
data_GdDyEr2
_space_group_name_H-M_alt 'P 4/m m m'
_space_group_IT_number 123
_space_group_name_Hall '-P 4 2'
_cell_length_a 5.000
_cell_length_b 5.000
_cell_length_c 4.980
_cell_angle_alpha 90.00
_cell_angle_beta 90.00
_cell_angle_gamma 90.00
loop_
_atom_site_label
_atom_site_fract_x
_atom_site_fract_y
_atom_site_fract_z
Gd1 0.000 0.000 0.000
Dy1 0.500 0.500 0.000
Er1 0.000 0.500 0.500

[8]
# PBE Gd2DyEr, optimized geometry
# Total magnetization: 43.666 μB per cell
# Calculated formation energy: 3 kJ/mol of atoms
data_Gd2DyEr
_space_group_name_H-M_alt 'R -3 m'
_space_group_IT_number 166
_space_group_name_Hall '-R 3 2"'
_cell_length_a 3.5502
_cell_length_b 3.5502
_cell_length_c 34.7477
_cell_angle_alpha 90.00
_cell_angle_beta 90.00
_cell_angle_gamma 120.00
loop_
_atom_site_label
_atom_site_fract_x
_atom_site_fract_y
_atom_site_fract_z
Gd1 0.0000 0.0000 0.2503
Dy1 0.0000 0.0000 0.5000
Er1 0.0000 0.0000 0.0000

[9]
# PBE Gd4DyEr, optimized geometry
# Total magnetization: 114.384 μB per cell
# Calculated formation energy: 25 kJ/mol of atoms
data_Gd4DyEr
_space_group_name_H-M_alt 'F -4 3 m'
_space_group_IT_number 216
_space_group_name_Hall 'F -4 2 3'
_cell_length_a 9.270
_cell_length_b 9.270
_cell_length_c 9.270
_cell_angle_alpha 90.00
_cell_angle_beta 90.00
_cell_angle_gamma 90.00
loop_
_atom_site_label
_atom_site_fract_x
_atom_site_fract_y
_atom_site_fract_z
Gd1 0.125 0.125 0.125
Dy1 0.000 0.000 0.500
Er1 0.250 0.250 0.750

[10]
# PBE GdDyEr2, optimized geometry
# Total magnetization: 33.786 μB per cell
# Calculated formation energy: 11 kJ/mol of atoms
data_GdDyEr2
_space_group_name_H-M_alt 'F m -3 m'
_space_group_IT_number 225
_space_group_name_Hall '-F 4 2 3'
_cell_length_a 7.970
_cell_length_b 7.970
_cell_length_c 7.970
_cell_angle_alpha 90.00
_cell_angle_beta 90.00
_cell_angle_gamma 90.00
loop_
_atom_site_label
_atom_site_fract_x
_atom_site_fract_y
_atom_site_fract_z
Gd1 0.000 0.000 0.000
Dy1 0.000 0.000 0.500
Er1 0.250 0.250 0.250

[11]
# PBE GdDy4Er, optimized geometry
# Total magnetization: 33.382 μB per cell
# Calculated formation energy: 24 kJ/mol of atoms
data_GdDy4Er
_space_group_name_H-M_alt 'F -4 3 m'
_space_group_IT_number 216
_space_group_name_Hall 'F -4 2 3'
_cell_length_a 9.271
_cell_length_b 9.271
_cell_length_c 9.271
_cell_angle_alpha 90.00
_cell_angle_beta 90.00
_cell_angle_gamma 90.00
loop_
_atom_site_label
_atom_site_fract_x
_atom_site_fract_y
_atom_site_fract_z
Gd1 0.000 0.000 0.000
Dy1 0.124 0.124 0.624
Er1 0.250 0.250 0.250

[12]
# PBE LiGdDyEr, optimized geometry
# Total magnetization: 28.911 μB per cell
# Calculated formation energy: 16 kJ/mol of atoms
data_LiGdDyEr
_space_group_name_H-M_alt 'F -4 3 m'
_space_group_IT_number 216
_space_group_name_Hall 'F -4 2 3'
_cell_length_a 7.729
_cell_length_b 7.729
_cell_length_c 7.729
_cell_angle_alpha 90.00
_cell_angle_beta 90.00
_cell_angle_gamma 90.00
loop_
_atom_site_label
_atom_site_fract_x
_atom_site_fract_y
_atom_site_fract_z
Li1 0.000 0.000 0.000
Gd1 0.250 0.250 0.250
Dy1 0.250 0.250 0.750
Er1 0.000 0.000 0.500

[13]
# PBE PrGdDyEr, optimized geometry
# Total magnetization: 30.982 μB per cell
# Calculated formation energy: 10 kJ/mol of atoms
data_PrGdDyEr
_space_group_name_H-M_alt 'F -4 3 m'
_space_group_IT_number 216
_space_group_name_Hall 'F -4 2 3'
_cell_length_a 8.078
_cell_length_b 8.078
_cell_length_c 8.078
_cell_angle_alpha 90.00
_cell_angle_beta 90.00
_cell_angle_gamma 90.00
loop_
_atom_site_label
_atom_site_fract_x
_atom_site_fract_y
_atom_site_fract_z
Pr1 0.000 0.000 0.000
Gd1 0.000 0.000 0.500
Dy1 0.250 0.250 0.250
Er1 0.250 0.250 0.750

[14]
# PBE GdDyErTm, optimized geometry
# Total magnetization: 32.954 μB per cell
# Calculated formation energy: 11 kJ/mol of atoms
data_GdDyErTm
_space_group_name_H-M_alt 'F -4 3 m'
_space_group_IT_number 216
_space_group_name_Hall 'F -4 2 3'
_cell_length_a 7.957
_cell_length_b 7.957
_cell_length_c 7.957
_cell_angle_alpha 90.00
_cell_angle_beta 90.00
_cell_angle_gamma 90.00
loop_
_atom_site_label
_atom_site_fract_x
_atom_site_fract_y
_atom_site_fract_z
Gd1 0.000 0.000 0.000
Dy1 0.000 0.000 0.500
Er1 0.250 0.250 0.250
Tm1 0.250 0.250 0.750

[15]
# PBE GdDyYEr, optimized geometry
# Total magnetization: 34.423 μB per cell
# Calculated formation energy: 11 kJ/mol of atoms
data_GdDyYEr
_space_group_name_H-M_alt 'F -4 3 m'
_space_group_IT_number 216
_space_group_name_Hall 'F -4 2 3'
_cell_length_a 8.010
_cell_length_b 8.010
_cell_length_c 8.010
_cell_angle_alpha 90.00
_cell_angle_beta 90.00
_cell_angle_gamma 90.00
loop_
_atom_site_label
_atom_site_fract_x
_atom_site_fract_y
_atom_site_fract_z
Gd1 0.000 0.000 0.000
Dy1 0.000 0.000 0.500
Y1 0.250 0.250 0.250
Er1 0.250 0.250 0.750

DOS(E_F) in states/eV/cell, matching the order above: 9.07 14.75 5.98 7.08 7.40 28.63 6.76 19.82 46.91 33.61 44.65 13.90 32.21 33.76 33.82
Electronic total energy in eV/atom, matching the order above: -3.5900 -3.7912 -6.9273 -9.3044 -9.3041 -9.2304 -6.9301 -9.3056 -10.6590 -6.8333 -5.9276 -6.1241 -6.8985 -6.8124 -7.3093